# 1
Material: Ca6Pt2Au
Method: DFT, PBE-GGA
State: optimized geometry

Computed properties:
* final energy: -33.7 eV per formula unit
* formation energy from the elements: -0.7065 eV/atom

Lattice parameters (Å, degrees): 8.6498 8.6498 8.6498 146.50 131.72 60.04
Fractional positions:
Ca 0.0756 0.3298 0.7458
Ca 0.2412 0.0000 0.2412
Ca 0.4159 0.6702 0.7458
Ca 0.5841 0.3298 0.2542
Ca 0.7588 0.0000 0.7588
Ca 0.9244 0.6702 0.2542
Pt 0.1665 0.1665 0.0000
Pt 0.8335 0.8335 0.0000
Au 0.5000 0.5000 0.0000



# 2
Material: Ca2Pt3Au4
Method: DFT, PBE-GGA
State: optimized geometry

Computed properties:
* final energy: -40.8 eV per formula unit
* formation energy from the elements: -0.6192 eV/atom

Lattice parameters (Å, degrees): 8.3848 7.4548 5.4036 79.65 61.00 39.34
Fractional positions:
Ca 0.1260 0.1260 0.8740
Ca 0.8740 0.8740 0.1260
Pt 0.0000 0.0000 0.5000
Pt 0.5000 0.5000 0.0000
Pt 0.5000 0.5000 0.5000
Au 0.1678 0.4859 0.5141
Au 0.4859 0.1678 0.8322
Au 0.5141 0.8322 0.1678
Au 0.8322 0.5141 0.4859



# 3
Material: Ca5PtAu4
Method: DFT, PBE-GGA
State: optimized geometry

Computed properties:
* final energy: -37.3 eV per formula unit
* formation energy from the elements: -0.8111 eV/atom

Lattice parameters (Å, degrees): 3.6077 3.6077 18.0794 90.00 90.00 90.00
Fractional positions:
Ca 0.0000 0.0000 0.0000
Ca 0.0000 0.0000 0.2029
Ca 0.0000 0.0000 0.4073
Ca 0.0000 0.0000 0.5927
Ca 0.0000 0.0000 0.7971
Pt 0.5000 0.5000 0.5000
Au 0.5000 0.5000 0.1017
Au 0.5000 0.5000 0.3044
Au 0.5000 0.5000 0.6956
Au 0.5000 0.5000 0.8983



# 4
Material: Ca4Pt3Au
Method: DFT, PBE-GGA
State: optimized geometry

Computed properties:
* final energy: -36.4 eV per formula unit
* formation energy from the elements: -0.8717 eV/atom

Lattice parameters (Å, degrees): 9.9766 7.0738 4.9908 90.00 90.00 90.00
Fractional positions:
Ca 0.0000 0.2418 0.0000
Ca 0.0000 0.7582 0.0000
Ca 0.2500 0.2417 0.4994
Ca 0.2500 0.7583 0.4994
Ca 0.5000 0.2418 0.0000
Ca 0.5000 0.7582 0.0000
Ca 0.7500 0.2417 0.5006
Ca 0.7500 0.7583 0.5006
Pt 0.0000 0.0000 0.5000
Pt 0.2500 0.0000 0.9989
Pt 0.2500 0.5000 0.9997
Pt 0.5000 0.0000 0.5000
Pt 0.7500 0.0000 0.0011
Pt 0.7500 0.5000 0.0003
Au 0.0000 0.5000 0.5000
Au 0.5000 0.5000 0.5000



# 5
Material: Ca11Pt4Au9
Method: DFT, PBE-GGA
State: optimized geometry

Computed properties:
* final energy: -95.1 eV per formula unit
* formation energy from the elements: -0.8104 eV/atom

Lattice parameters (Å, degrees): 12.7358 12.7358 3.7313 90.00 90.00 112.73
Fractional positions:
Ca 0.0000 0.0000 0.0000
Ca 0.0701 0.4121 0.0000
Ca 0.1669 0.8331 0.0000
Ca 0.2960 0.2960 0.0000
Ca 0.3684 0.6316 0.0000
Ca 0.4121 0.0701 0.0000
Ca 0.5879 0.9299 0.0000
Ca 0.6316 0.3684 0.0000
Ca 0.7040 0.7040 0.0000
Ca 0.8331 0.1669 0.0000
Ca 0.9299 0.5879 0.0000
Pt 0.2513 0.4492 0.5000
Pt 0.4492 0.2513 0.5000
Pt 0.5508 0.7487 0.5000
Pt 0.7487 0.5508 0.5000
Au 0.0644 0.2134 0.5000
Au 0.1551 0.6297 0.5000
Au 0.2134 0.0644 0.5000
Au 0.3703 0.8449 0.5000
Au 0.5000 0.5000 0.5000
Au 0.6297 0.1551 0.5000
Au 0.7866 0.9356 0.5000
Au 0.8449 0.3703 0.5000
Au 0.9356 0.7866 0.5000



# 6
Material: Ca4Pt2Au
Method: DFT, PBE-GGA
State: optimized geometry

Computed properties:
* final energy: -29.0 eV per formula unit
* formation energy from the elements: -0.8119 eV/atom

Lattice parameters (Å, degrees): 8.6141 8.6141 8.6141 33.75 33.75 33.75
Fractional positions:
Ca 0.1226 0.1226 0.1226
Ca 0.3732 0.3732 0.3732
Ca 0.6268 0.6268 0.6268
Ca 0.8774 0.8774 0.8774
Pt 0.2495 0.2495 0.2495
Pt 0.7505 0.7505 0.7505
Au 0.5000 0.5000 0.5000